# CoBi2PtO8

A geometry-optimized CoBi2PtO8 structure (PBE with a Hubbard U, Alexandria).

Values from the calculation:
The value obtained for the total energy is -67.7 eV for the cell shown. Its space-group type is P2/m (10). As for the crystal system: monoclinic.

Lattice parameters (Å, degrees): 4.787 4.750 6.763 90.00 90.00 90.01
Site moments in Bohr magnetons follow the coordinates.
Element x y z (fractional)
1 Co 0.000 0.000 0.500  2.66
2 Bi 0.500 0.500 0.747  0.01
3 Bi 0.500 0.500 0.253  0.01
4 Pt 0.000 0.000 0.000  0.07
5 O 0.162 0.803 0.243  0.04
6 O 0.680 0.730 0.000  0.02
7 O 0.838 0.197 0.243  0.04
8 O 0.838 0.197 0.757  0.04
9 O 0.320 0.270 0.000  0.02
10 O 0.162 0.803 0.757  0.04
11 O 0.696 0.717 0.500  0.04
12 O 0.304 0.283 0.500  0.04